# Nd6Sm8Mg PBE relaxed
# - Density: 6764 kg/m³
# - ΔE_f: 11.48 kJ/mol of atoms
# - Crystal system: trigonal
# - E: -4.411 eV per atom
data_Nd6Sm8Mg
_cell_length_a 9.5358
_cell_length_b 9.5358
_cell_length_c 6.5234
_cell_angle_alpha 90.00
_cell_angle_beta 90.00
_cell_angle_gamma 120.00
_space_group_name_H-M_alt 'P -3'
_space_group_IT_number 147
loop_
_space_group_symop_operation_xyz
'x,y,z'
'-x,-y,-z'
'-y,x-y,z'
'y,-x+y,-z'
'-x+y,-x,z'
'x-y,x,-z'
loop_
_atom_site_label
_atom_site_fract_x
_atom_site_fract_y
_atom_site_fract_z
Nd1 0.0901 0.6440 0.1749
Sm1 0.0377 0.7695 0.6816
Sm2 0.3333 0.6667 0.6430
Mg1 0.0000 0.0000 0.0000

---

# YNiTe2 PBE relaxed
# - Density: 4706 kg/m³
# - Formation energy from raw total energies: -0.4661 eV/atom
# - Crystal system: trigonal
# - E: -5.098 eV per atom
data_YNiTe2
_cell_length_a 4.4513
_cell_length_b 4.4513
_cell_length_c 24.8468
_cell_angle_alpha 90.00
_cell_angle_beta 90.00
_cell_angle_gamma 120.00
_space_group_name_H-M_alt 'R -3 m'
_space_group_IT_number 166
_space_group_name_Hall '-R 3 2"'
loop_
_atom_site_label
_atom_site_fract_x
_atom_site_fract_y
_atom_site_fract_z
Y1 0.0000 0.0000 0.0000
Ni1 0.0000 0.0000 0.5000
Te1 0.0000 0.0000 0.4021

---

# TbPmNdLu PBE relaxed
# - Density: 7851 kg/m³
# - ΔE_f: 10.42 kJ/mol of atoms
# - Crystal system: cubic
# - E: -4.559 eV per atom
data_TbPmNdLu
_cell_length_a 8.078
_cell_length_b 8.078
_cell_length_c 8.078
_cell_angle_alpha 90.00
_cell_angle_beta 90.00
_cell_angle_gamma 90.00
_space_group_name_H-M_alt 'F -4 3 m'
_space_group_IT_number 216
_space_group_name_Hall 'F -4 2 3'
loop_
_atom_site_label
_atom_site_fract_x
_atom_site_fract_y
_atom_site_fract_z
Tb1 0.000 0.000 0.000
Pm1 0.250 0.250 0.750
Nd1 0.250 0.250 0.250
Lu1 0.000 0.000 0.500

---

# Pb2SBrCl PBE relaxed
# - Density: 4975 kg/m³
# - Formation energy from raw total energies: -0.7717 eV/atom
# - Crystal system: monoclinic
# - E: -3.784 eV per atom
data_Pb2SBrCl
_cell_length_a 7.434
_cell_length_b 7.135
_cell_length_c 7.317
_cell_angle_alpha 90.00
_cell_angle_beta 104.91
_cell_angle_gamma 90.00
_space_group_name_H-M_alt 'P 1 2/c 1'
_space_group_IT_number 13
loop_
_space_group_symop_operation_xyz
'x,y,z'
'-x,-y,-z'
'-x,y,-z+1/2'
'x,-y,z+1/2'
loop_
_atom_site_label
_atom_site_fract_x
_atom_site_fract_y
_atom_site_fract_z
Pb1 0.224 0.185 0.036
S1 0.000 0.016 0.250
Br1 0.500 0.145 0.750
Cl1 0.000 0.500 0.000

---

# Cu2As2O7 PBE relaxed
# - Density: 4828 kg/m³
# - Distance to the lowest polymorph of the same formula: 44 meV/atom
# - Formation energy from raw total energies: -0.8661 eV/atom
# - Crystal system: monoclinic
# - E: -5.611 eV per atom
data_Cu2As2O7
_cell_length_a 6.206
_cell_length_b 8.877
_cell_length_c 4.906
_cell_angle_alpha 90.00
_cell_angle_beta 98.16
_cell_angle_gamma 90.00
_space_group_name_H-M_alt 'C 1 2/m 1'
_space_group_IT_number 12
loop_
_space_group_symop_operation_xyz
'x,y,z'
'-x,-y,-z'
'-x,y,-z'
'x,-y,z'
'x+1/2,y+1/2,z'
'-x+1/2,-y+1/2,-z'
'-x+1/2,y+1/2,-z'
'x+1/2,-y+1/2,z'
loop_
_atom_site_label
_atom_site_fract_x
_atom_site_fract_y
_atom_site_fract_z
Cu1 0.000 0.192 0.000
As1 0.244 0.000 0.611
O1 0.000 0.500 0.500
O2 0.086 0.000 0.279
O3 0.242 0.332 0.206

---

# CuSiBr2 PBE relaxed
# - Density: 4374 kg/m³
# - Distance to the lowest polymorph of the same formula: 343 meV/atom
# - Formation energy from raw total energies: 0.2453 eV/atom
# - Crystal system: monoclinic
# - E: -2.971 eV per atom
data_CuSiBr2
_cell_length_a 3.438
_cell_length_b 3.755
_cell_length_c 7.462
_cell_angle_alpha 90.00
_cell_angle_beta 97.66
_cell_angle_gamma 90.00
_space_group_name_H-M_alt 'P 1 2/m 1'
_space_group_IT_number 10
loop_
_space_group_symop_operation_xyz
'x,y,z'
'-x,-y,-z'
'-x,y,-z'
'x,-y,z'
loop_
_atom_site_label
_atom_site_fract_x
_atom_site_fract_y
_atom_site_fract_z
Cu1 0.000 0.000 0.000
Si1 0.000 0.000 0.500
Br1 0.096 0.500 0.777

---

# YMoRu PBE relaxed
# - Density: 8338 kg/m³
# - Distance to the lowest polymorph of the same formula: 582 meV/atom
# - ΔE_f: 40.10 kJ/mol of atoms
# - Crystal system: trigonal
# - E: -8.441 eV per atom
data_YMoRu
_cell_length_a 3.1090
_cell_length_b 3.1090
_cell_length_c 6.8024
_cell_angle_alpha 90.00
_cell_angle_beta 90.00
_cell_angle_gamma 120.00
_space_group_name_H-M_alt 'P 3 m 1'
_space_group_IT_number 156
loop_
_space_group_symop_operation_xyz
'x,y,z'
'-y,x-y,z'
'-x+y,-x,z'
'-y,-x,z'
'-x+y,y,z'
'x,x-y,z'
loop_
_atom_site_label
_atom_site_fract_x
_atom_site_fract_y
_atom_site_fract_z
Y1 0.0000 0.0000 0.0000
Mo1 0.6667 0.3333 0.3687
Ru1 0.3333 0.6667 0.6438

---

# ScSi2AgRu PBE relaxed
# - Density: 4897 kg/m³
# - Formation energy from raw total energies: 1.1710 eV/atom
# - Crystal system: tetragonal
# - E: -4.690 eV per atom
data_ScSi2AgRu
_cell_length_a 4.555
_cell_length_b 4.555
_cell_length_c 5.067
_cell_angle_alpha 90.00
_cell_angle_beta 90.00
_cell_angle_gamma 90.00
_space_group_name_H-M_alt 'P 4/m m m'
_space_group_IT_number 123
_space_group_name_Hall '-P 4 2'
loop_
_atom_site_label
_atom_site_fract_x
_atom_site_fract_y
_atom_site_fract_z
Sc1 0.000 0.000 0.000
Si1 0.000 0.500 0.500
Ag1 0.000 0.000 0.500
Ru1 0.500 0.500 0.000

---

# Pm4Pr10Er PBE relaxed
# - Density: 6284 kg/m³
# - ΔE_f: 37.00 kJ/mol of atoms
# - Crystal system: tetragonal
# - E: -4.374 eV per atom
data_Pm4Pr10Er
_cell_length_a 10.139
_cell_length_b 10.139
_cell_length_c 11.087
_cell_angle_alpha 90.00
_cell_angle_beta 90.00
_cell_angle_gamma 90.00
_space_group_name_H-M_alt 'I 4/m'
_space_group_IT_number 87
_space_group_name_Hall '-I 4'
loop_
_atom_site_label
_atom_site_fract_x
_atom_site_fract_y
_atom_site_fract_z
Pm1 0.056 0.720 0.000
Pr1 0.000 0.500 0.250
Pr2 0.121 0.775 0.335
Er1 0.000 0.000 0.500

---

# Pm2Nd5In PBE relaxed
# - Density: 7087 kg/m³
# - ΔE_f: -11.04 kJ/mol of atoms
# - Crystal system: tetragonal
# - E: -4.624 eV per atom
data_Pm2Nd5In
_cell_length_a 5.030
_cell_length_b 5.030
_cell_length_c 20.854
_cell_angle_alpha 90.00
_cell_angle_beta 90.00
_cell_angle_gamma 90.00
_space_group_name_H-M_alt 'I 4/m m m'
_space_group_IT_number 139
_space_group_name_Hall '-I 4 2'
loop_
_atom_site_label
_atom_site_fract_x
_atom_site_fract_y
_atom_site_fract_z
Pm1 0.000 0.000 0.248
Nd1 0.000 0.000 0.000
Nd2 0.000 0.500 0.121
In1 0.000 0.000 0.500

---

# AsC3 PBE relaxed
# - Density: 3413 kg/m³
# - Distance to the lowest polymorph of the same formula: 312 meV/atom
# - ΔE_f: 103.67 kJ/mol of atoms
# - Crystal system: monoclinic
# - E: -7.006 eV per atom
data_AsC3
_cell_length_a 3.809
_cell_length_b 3.018
_cell_length_c 4.813
_cell_angle_alpha 90.00
_cell_angle_beta 102.70
_cell_angle_gamma 90.00
_space_group_name_H-M_alt 'P 1 m 1'
_space_group_IT_number 6
loop_
_space_group_symop_operation_xyz
'x,y,z'
'x,-y,z'
loop_
_atom_site_label
_atom_site_fract_x
_atom_site_fract_y
_atom_site_fract_z
As1 0.000 0.000 0.000
C1 0.066 0.000 0.600
C2 0.350 0.000 0.464
C3 0.701 0.000 0.537

---

# AcPr6Cd PBE relaxed
# - Density: 7062 kg/m³
# - Distance to the lowest polymorph of the same formula: 0 meV/atom
# - ΔE_f: -2.66 kJ/mol of atoms
# - Crystal system: tetragonal
# - E: -4.240 eV per atom
data_AcPr6Cd
_cell_length_a 5.164
_cell_length_b 5.164
_cell_length_c 10.446
_cell_angle_alpha 90.00
_cell_angle_beta 90.00
_cell_angle_gamma 90.00
_space_group_name_H-M_alt 'P 4/m m m'
_space_group_IT_number 123
_space_group_name_Hall '-P 4 2'
loop_
_atom_site_label
_atom_site_fract_x
_atom_site_fract_y
_atom_site_fract_z
Ac1 0.000 0.000 0.000
Pr1 0.000 0.500 0.262
Pr2 0.500 0.500 0.000
Pr3 0.500 0.500 0.500
Cd1 0.000 0.000 0.500

---

# MnCuN2 PBE relaxed
# - Density: 5955 kg/m³
# - Distance to the lowest polymorph of the same formula: 848 meV/atom
# - Formation energy from raw total energies: 0.9068 eV/atom
# - Crystal system: trigonal
# - E: -6.572 eV per atom
data_MnCuN2
_cell_length_a 2.8507
_cell_length_b 2.8507
_cell_length_c 17.4137
_cell_angle_alpha 90.00
_cell_angle_beta 90.00
_cell_angle_gamma 120.00
_space_group_name_H-M_alt 'R -3 m'
_space_group_IT_number 166
_space_group_name_Hall '-R 3 2"'
loop_
_atom_site_label
_atom_site_fract_x
_atom_site_fract_y
_atom_site_fract_z
Mn1 0.0000 0.0000 0.0000
Cu1 0.0000 0.0000 0.5000
N1 0.0000 0.0000 0.1001

---

# KPuSc2O8 PBE relaxed
# - Density: 4670 kg/m³
# - Formation energy from raw total energies: -2.4761 eV/atom
# - Crystal system: monoclinic
# - E: -8.123 eV per atom
data_KPuSc2O8
_cell_length_a 4.970
_cell_length_b 7.197
_cell_length_c 4.981
_cell_angle_alpha 90.00
_cell_angle_beta 90.86
_cell_angle_gamma 90.00
_space_group_name_H-M_alt 'P 1 2/m 1'
_space_group_IT_number 10
loop_
_space_group_symop_operation_xyz
'x,y,z'
'-x,-y,-z'
'-x,y,-z'
'x,-y,z'
loop_
_atom_site_label
_atom_site_fract_x
_atom_site_fract_y
_atom_site_fract_z
K1 0.000 0.000 0.000
Pu1 0.000 0.500 0.000
Sc1 0.500 0.285 0.500
O1 0.195 0.306 0.194
O2 0.306 0.500 0.693
O3 0.392 0.000 0.605

---

# Cr2Ru5Rh5 PBE relaxed
# - Density: 11188 kg/m³
# - ΔE_f: 12.51 kJ/mol of atoms
# - Crystal system: monoclinic
# - E: -8.402 eV per atom
data_Cr2Ru5Rh5
_cell_length_a 9.079
_cell_length_b 4.206
_cell_length_c 9.241
_cell_angle_alpha 90.00
_cell_angle_beta 109.00
_cell_angle_gamma 90.00
_space_group_name_H-M_alt 'C 1 2/m 1'
_space_group_IT_number 12
loop_
_space_group_symop_operation_xyz
'x,y,z'
'-x,-y,-z'
'-x,y,-z'
'x,-y,z'
'x+1/2,y+1/2,z'
'-x+1/2,-y+1/2,-z'
'-x+1/2,y+1/2,-z'
'x+1/2,-y+1/2,z'
loop_
_atom_site_label
_atom_site_fract_x
_atom_site_fract_y
_atom_site_fract_z
Cr1 0.050 0.000 0.208
Ru1 0.000 0.000 0.500
Ru2 0.201 0.000 0.041
Ru3 0.239 0.000 0.760
Rh1 0.000 0.500 0.000
Rh2 0.029 0.500 0.713
Rh3 0.214 0.500 0.557

---

# Ce2DyGa PBE relaxed
# - Density: 8301 kg/m³
# - Distance to the lowest polymorph of the same formula: 0 meV/atom
# - ΔE_f: -27.84 kJ/mol of atoms
# - Crystal system: monoclinic
# - E: -5.163 eV per atom
data_Ce2DyGa
_cell_length_a 4.376
_cell_length_b 4.279
_cell_length_c 11.135
_cell_angle_alpha 90.00
_cell_angle_beta 100.48
_cell_angle_gamma 90.00
_space_group_name_H-M_alt 'P 1 21/m 1'
_space_group_IT_number 11
loop_
_space_group_symop_operation_xyz
'x,y,z'
'-x,-y,-z'
'-x,y+1/2,-z'
'x,-y+1/2,z'
loop_
_atom_site_label
_atom_site_fract_x
_atom_site_fract_y
_atom_site_fract_z
Ce1 0.014 0.250 0.122
Ce2 0.393 0.250 0.874
Dy1 0.301 0.750 0.602
Ga1 0.178 0.750 0.330

---

# CeYHgPt PBE relaxed
# - Density: 10618 kg/m³
# - ΔE_f: -65.62 kJ/mol of atoms
# - Crystal system: cubic
# - E: -5.365 eV per atom
data_CeYHgPt
_cell_length_a 7.311
_cell_length_b 7.311
_cell_length_c 7.311
_cell_angle_alpha 90.00
_cell_angle_beta 90.00
_cell_angle_gamma 90.00
_space_group_name_H-M_alt 'F -4 3 m'
_space_group_IT_number 216
_space_group_name_Hall 'F -4 2 3'
loop_
_atom_site_label
_atom_site_fract_x
_atom_site_fract_y
_atom_site_fract_z
Ce1 0.000 0.000 0.000
Y1 0.000 0.000 0.500
Hg1 0.250 0.250 0.750
Pt1 0.250 0.250 0.250

---

# Al2NiIr PBE relaxed
# - Density: 9269 kg/m³
# - ΔE_f: -53.92 kJ/mol of atoms
# - Crystal system: orthorhombic
# - E: -6.091 eV per atom
data_Al2NiIr
_cell_length_a 2.837
_cell_length_b 3.719
_cell_length_c 5.178
_cell_angle_alpha 90.00
_cell_angle_beta 90.00
_cell_angle_gamma 90.00
_space_group_name_H-M_alt 'P m m 2'
_space_group_IT_number 25
loop_
_space_group_symop_operation_xyz
'x,y,z'
'-x,-y,z'
'-x,y,z'
'x,-y,z'
loop_
_atom_site_label
_atom_site_fract_x
_atom_site_fract_y
_atom_site_fract_z
Al1 0.000 0.000 0.000
Al2 0.500 0.500 0.312
Ni1 0.500 0.500 0.819
Ir1 0.000 0.000 0.503

---

# Ga2Os2Cl PBE relaxed
# - Density: 11419 kg/m³
# - Distance to the lowest polymorph of the same formula: 0 meV/atom
# - Formation energy from raw total energies: 0.4380 eV/atom
# - Crystal system: tetragonal
# - E: -5.634 eV per atom
data_Ga2Os2Cl
_cell_length_a 7.425
_cell_length_b 7.425
_cell_length_c 2.930
_cell_angle_alpha 90.00
_cell_angle_beta 90.00
_cell_angle_gamma 90.00
_space_group_name_H-M_alt 'P 4/m b m'
_space_group_IT_number 127
_space_group_name_Hall '-P 4 2ab'
loop_
_atom_site_label
_atom_site_fract_x
_atom_site_fract_y
_atom_site_fract_z
Ga1 0.167 0.333 0.000
Os1 0.127 0.627 0.500
Cl1 0.000 0.000 0.500

---

# Nd3MgAl2 PBE relaxed
# - Density: 5223 kg/m³
# - Distance to the lowest polymorph of the same formula: 18 meV/atom
# - ΔE_f: -26.00 kJ/mol of atoms
# - Crystal system: tetragonal
# - E: -4.167 eV per atom
data_Nd3MgAl2
_cell_length_a 3.586
_cell_length_b 3.586
_cell_length_c 12.634
_cell_angle_alpha 90.00
_cell_angle_beta 90.00
_cell_angle_gamma 90.00
_space_group_name_H-M_alt 'P 4/m m m'
_space_group_IT_number 123
_space_group_name_Hall '-P 4 2'
loop_
_atom_site_label
_atom_site_fract_x
_atom_site_fract_y
_atom_site_fract_z
Nd1 0.000 0.000 0.000
Nd2 0.000 0.000 0.316
Mg1 0.500 0.500 0.500
Al1 0.500 0.500 0.162